Below is a relaxed V2Pd2O7 crystal, with properties calculated at the PBE+U level.

Its energy above the most stable polymorph in this dataset is 0.000 eV/atom. As for the size of the total moment: 0.00 μB/atom. The value obtained for the calculated density is 3596 kg/m³.

The structure belongs to space group C2/c (No. 15); the cell edges are 9.050, 8.416 and 10.512 Å and the angles 90.00°, 100.10° and 90.00°. The asymmetric unit holds V at (0.191, 0.233, 0.281), Pd at (0.222, 0.431, 0.994), O at (0.000, 0.163, 0.250), O at (0.192, 0.415, 0.352), O at (0.203, 0.402, 0.623) and O at (0.244, 0.247, 0.872).